--- w ---
DFT (GGA-PBE) results for crystalline ZnCuSiAg at its relaxed geometry.

Computed properties:
SG: F-43m, No. 216

The structure in POSCAR format:
```
ZnCuSiAg
1.0
0.000 3.103 3.103
3.103 0.000 3.103
3.103 3.103 0.000
Si Zn Cu Ag
1 1 1 1
Cartesian
0.000 0.000 0.000
3.103 3.103 3.103
4.654 4.654 4.654
1.551 1.551 1.551
```

=====

--- x ---
DFT (GGA-PBE) results for crystalline ZnCuSiAg at its relaxed geometry.

Computed properties:
SG: F-43m, No. 216

The structure in POSCAR format:
```
ZnCuSiAg
1.0
2.707 -3.334 0.956
-0.546 -2.279 3.724
-1.473 -4.143 -0.152
Ag Si Cu Zn
1 1 1 1
Cartesian
0.344 -4.878 2.264
0.000 0.000 0.000
0.516 -7.317 3.396
0.172 -2.439 1.132
```

=====

Sorted by energy, starting with the most stable: w, x.

=====

--- w ---
DFT (GGA-PBE) results for crystalline CuAgTe at its relaxed geometry.

Computed properties:
SG: P6_3mc, No. 186

The structure in POSCAR format:
```
CuAgTe
1.0
4.404 0.000 0.000
-2.202 3.814 0.000
0.000 0.000 7.319
Cu Ag Te
2 2 2
Cartesian
2.202 1.271 4.218
0.000 2.543 0.559
0.000 0.000 5.290
0.000 0.000 1.631
2.202 1.271 6.958
0.000 2.543 3.299
```

=====

--- x ---
DFT (GGA-PBE) results for crystalline CuAgTe at its relaxed geometry.

Computed properties:
SG: P-62m, No. 189

The structure in POSCAR format:
```
CuAgTe
1.0
-5.530 -4.169 2.032
6.108 0.019 3.844
-1.420 2.977 2.242
Ag Te Cu
3 3 3
Cartesian
2.957 1.500 3.429
-4.030 -1.015 2.341
-0.479 -0.170 3.469
1.760 0.005 1.107
0.412 -2.955 4.183
-1.593 -1.201 0.585
-1.650 -2.773 2.636
-0.710 1.488 1.121
2.229 -1.377 3.240
```

=====

Sorted by energy, starting with the most stable: w, x.

=====

--- w ---
DFT (GGA-PBE) results for crystalline CuAgTe at its relaxed geometry.

Computed properties:
SG: Pnma, No. 62

The structure in POSCAR format:
```
CuAgTe
1.0
7.424 0.000 0.000
0.000 4.255 0.000
0.000 0.000 7.961
Te Ag Cu
4 4 4
Cartesian
5.172 1.064 7.461
1.460 1.064 4.481
2.252 3.192 0.501
5.965 3.192 3.480
3.882 1.064 2.812
7.254 3.192 6.792
3.542 3.192 5.150
0.170 1.064 1.169
1.926 1.064 6.978
5.498 3.192 0.984
5.639 1.064 4.964
1.786 3.192 2.997
```

=====

--- x ---
DFT (GGA-PBE) results for crystalline CuAgTe at its relaxed geometry.

Computed properties:
SG: P6_3/mmc, No. 194

The structure in POSCAR format:
```
CuAgTe
1.0
4.407 0.000 0.000
-2.204 3.817 0.000
0.000 0.000 7.512
Ag Cu Te
2 2 2
Cartesian
0.000 0.000 0.000
0.000 0.000 3.756
0.000 2.544 5.634
2.204 1.272 1.878
0.000 2.544 1.878
2.204 1.272 5.634
```

=====

--- y ---
DFT (GGA-PBE) results for crystalline CuAgTe at its relaxed geometry.

Computed properties:
SG: Pnma, No. 62

The structure in POSCAR format:
```
CuAgTe
1.0
7.288 0.000 0.000
0.000 4.296 0.000
0.000 0.000 7.774
Te Cu Ag
4 4 4
Cartesian
5.287 3.222 0.707
1.643 3.222 3.180
5.645 1.074 4.594
2.001 1.074 7.068
6.614 1.074 7.159
0.674 3.222 0.616
4.319 3.222 3.271
2.970 1.074 4.503
6.938 1.074 2.063
3.293 1.074 1.824
0.351 3.222 5.711
3.995 3.222 5.951
```

=====

Sorted by energy, starting with the most stable: y, w, x.

=====

--- w ---
DFT (GGA-PBE) results for crystalline TlZnCuAg at its relaxed geometry.

Computed properties:
SG: F-43m, No. 216

The structure in POSCAR format:
```
TlZnCuAg
1.0
0.000 3.301 3.301
3.301 0.000 3.301
3.301 3.301 0.000
Cu Zn Ag Tl
1 1 1 1
Cartesian
4.951 4.951 4.951
3.301 3.301 3.301
1.650 1.650 1.650
0.000 0.000 0.000
```

=====

--- x ---
DFT (GGA-PBE) results for crystalline TlZnCuAg at its relaxed geometry.

Computed properties:
SG: F-43m, No. 216

The structure in POSCAR format:
```
TlZnCuAg
1.0
2.236 -1.278 3.890
-2.402 -0.777 3.923
-0.458 -4.347 1.633
Cu Tl Ag Zn
1 1 1 1
Cartesian
-0.468 -4.801 7.085
0.000 0.000 0.000
-0.312 -3.201 4.723
-0.156 -1.600 2.362
```

=====

Sorted by energy, starting with the most stable: x, w.

=====

--- w ---
DFT (GGA-PBE) results for crystalline ZrTlCuAg at its relaxed geometry.

Computed properties:
SG: F-43m, No. 216
Size of the total moment, μB/f.u.: 0.00

The structure in POSCAR format:
```
ZrTlCuAg
1.0
-0.441 -3.606 3.031
-4.278 -1.238 1.598
-1.973 -4.058 -1.422
Tl Cu Zr Ag
1 1 1 1
Cartesian
0.000 0.000 0.000
-5.019 -6.676 2.405
-3.346 -4.451 1.604
-1.673 -2.225 0.802
```

=====

--- x ---
DFT (GGA-PBE) results for crystalline ZrTlCuAg at its relaxed geometry.

Computed properties:
SG: F-43m, No. 216
Size of the total moment, μB/f.u.: 0.00

The structure in POSCAR format:
```
ZrTlCuAg
1.0
0.000 3.368 3.368
3.368 0.000 3.368
3.368 3.368 0.000
Ag Zr Tl Cu
1 1 1 1
Cartesian
3.368 3.368 3.368
1.684 1.684 1.684
0.000 0.000 0.000
5.052 5.052 5.052
```

=====

Sorted by energy, starting with the most stable: w, x.

=====

--- w ---
DFT (GGA-PBE) results for crystalline TmCuAg at its relaxed geometry.

Computed properties:
SG: F-43m, No. 216
Size of the total moment, μB/f.u.: 0.00

The structure in POSCAR format:
```
TmCuAg
1.0
0.076 -4.479 1.204
-3.309 -2.869 -1.529
1.016 -3.236 -3.165
Ag Cu Tm
1 1 1
Cartesian
0.000 0.000 0.000
-1.109 -5.292 -1.745
-1.663 -7.938 -2.617
```

=====

--- x ---
DFT (GGA-PBE) results for crystalline TmCuAg at its relaxed geometry.

Computed properties:
SG: F-43m, No. 216
Size of the total moment, μB/f.u.: 0.00

The structure in POSCAR format:
```
TmCuAg
1.0
0.000 3.180 3.180
3.180 0.000 3.180
3.180 3.180 0.000
Ag Tm Cu
1 1 1
Cartesian
1.590 1.590 1.590
4.770 4.770 4.770
0.000 0.000 0.000
```

=====

Sorted by energy, starting with the most stable: x, w.

=====

--- w ---
DFT (GGA-PBE) results for crystalline Y2Cu2Ag at its relaxed geometry.

Computed properties:
SG: I4/mmm, No. 139
Size of the total moment, μB/f.u.: 0.04

The structure in POSCAR format:
```
Y2Cu2Ag
1.0
-0.280 -4.034 6.706
1.428 0.954 7.641
-3.103 2.336 -6.800
Y Cu Ag
2 2 1
Cartesian
0.448 -1.201 5.596
0.700 -1.879 8.752
-1.405 -1.619 3.540
-0.551 0.875 4.007
0.000 0.000 0.000
```

=====

--- x ---
DFT (GGA-PBE) results for crystalline Y2Cu2Ag at its relaxed geometry.

Computed properties:
SG: I4/mmm, No. 139
Size of the total moment, μB/f.u.: 0.00

The structure in POSCAR format:
```
Y2Cu2Ag
1.0
5.234 -0.637 1.903
0.489 4.393 3.447
-4.076 -3.847 0.007
Cu Y Ag
2 2 1
Cartesian
2.139 1.404 1.999
3.584 2.353 3.350
-0.363 1.212 3.064
2.009 -1.303 2.293
0.000 0.000 0.000
```

=====

Sorted by energy, starting with the most stable: w, x.